The following is a DFT calculation (PBE-GGA) of an optimized crystal structure of Ba2TaCo.

Values from the calculation:
As for the total moment: 0.50 μB per formula unit. Its space group is I-42d, No. 122. Its formation energy from the elements is 0.8487 eV per atom. The value obtained for the energy above the most stable polymorph in this dataset is 467.4 meV/atom. The value obtained for the energy is -4.85 eV per atom.

a = 11.970 Å, b = 11.970 Å, c = 8.761 Å
α = 46.91°, β = 46.91°, γ = 90.00°
Each line ends with the local moment (μB).
Fractional positions:
Ta 0.750 0.250 0.500  0.31
Co 0.250 0.750 0.500  -0.07
Ba 0.300 0.625 0.250  0.01
Ta 0.000 0.000 0.000  0.31
Ba 0.875 0.700 0.750  0.02
Ba 0.450 0.125 0.250  0.01
Co 0.500 0.500 0.000  -0.07
Ba 0.375 0.550 0.750  0.02